Record 1
! TbOs (PBE, optimized geometry); values from VASP
! DFT total energy   -8.106 eV/atom
! DFT formation energy   -178 meV/atom
&SYSTEM
  ibrav = 0, nat = 4, ntyp = 2
/
ATOMIC_SPECIES
Tb 158.93 Tb.upf
Os 190.23 Os.upf
CELL_PARAMETERS angstrom
4.706 0.000 0.000
-2.353 4.075 0.000
0.000 0.000 4.904
ATOMIC_POSITIONS crystal
Tb 0.667 0.333 0.250
Os 0.000 0.000 0.000
Os 0.000 0.000 0.500
Tb 0.333 0.667 0.750

---

Record 2
! MgTlCuMo (PBE, optimized geometry); values from VASP
! DFT total energy   -4.021 eV/atom
&SYSTEM
  ibrav = 0, nat = 4, ntyp = 4
/
ATOMIC_SPECIES
Mg 24.30 Mg.upf
Tl 204.38 Tl.upf
Mo 95.94 Mo.upf
Cu 63.55 Cu.upf
CELL_PARAMETERS angstrom
0.000 3.298 3.298
3.298 0.000 3.298
3.298 3.298 0.000
ATOMIC_POSITIONS crystal
Mg 0.500 0.500 0.500
Tl 0.000 0.000 0.000
Mo 0.250 0.250 0.250
Cu 0.750 0.750 0.750

---

Record 3
! DyHoInC (PBE, optimized geometry); values from VASP
! DFT total energy   -5.678 eV/atom
&SYSTEM
  ibrav = 0, nat = 8, ntyp = 4
/
ATOMIC_SPECIES
C 12.01 C.upf
Dy 162.50 Dy.upf
Ho 164.93 Ho.upf
In 114.82 In.upf
CELL_PARAMETERS angstrom
3.587 0.000 0.000
-1.794 3.107 0.000
0.000 0.000 16.346
ATOMIC_POSITIONS crystal
C 0.000 0.000 0.249
Dy 0.333 0.667 0.332
Ho 0.667 0.333 0.833
In 0.667 0.333 0.500
In 0.333 0.667 0.000
Ho 0.667 0.333 0.167
C 0.000 0.000 0.751
Dy 0.333 0.667 0.668

---

Record 4
! Fe2BiOs (PBE, optimized geometry); values from VASP
! DFT total energy   -7.331 eV/atom
&SYSTEM
  ibrav = 0, nat = 4, ntyp = 3
/
ATOMIC_SPECIES
Fe 55.84 Fe.upf
Bi 208.98 Bi.upf
Os 190.23 Os.upf
CELL_PARAMETERS angstrom
-3.932 -1.914 0.597
-2.448 1.040 3.522
-3.699 2.354 -0.501
ATOMIC_POSITIONS crystal
Fe 0.750 0.750 0.750
Bi 0.500 0.500 0.500
Os 0.250 0.250 0.250
Fe 0.000 0.000 0.000

---

Record 5
! Zr3Si (PBE, optimized geometry); values from VASP
! DFT total energy   -8.336 eV/atom
&SYSTEM
  ibrav = 0, nat = 32, ntyp = 2
/
ATOMIC_SPECIES
Zr 91.22 Zr.upf
Si 28.09 Si.upf
CELL_PARAMETERS angstrom
-1.832 10.764 -1.557
-10.406 -1.276 3.423
1.558 1.005 5.113
ATOMIC_POSITIONS crystal
Zr 0.216 0.320 0.491
Zr 0.973 0.862 0.722
Zr 0.820 0.284 0.991
Zr 0.784 0.680 0.491
Zr 0.892 0.582 0.968
Zr 0.392 0.082 0.532
Zr 0.918 0.392 0.468
Zr 0.680 0.216 0.509
Zr 0.716 0.820 0.009
Zr 0.862 0.027 0.278
Zr 0.473 0.362 0.778
Zr 0.638 0.473 0.222
Si 0.295 0.542 0.713
Zr 0.320 0.784 0.509
Si 0.042 0.205 0.213
Si 0.542 0.705 0.287
Zr 0.362 0.527 0.222
Zr 0.027 0.138 0.722
Zr 0.180 0.716 0.991
Zr 0.082 0.608 0.468
Zr 0.582 0.108 0.032
Zr 0.418 0.892 0.032
Zr 0.108 0.418 0.968
Si 0.958 0.795 0.213
Zr 0.527 0.638 0.778
Si 0.795 0.042 0.787
Si 0.205 0.958 0.787
Si 0.458 0.295 0.287
Zr 0.284 0.180 0.009
Zr 0.608 0.918 0.532
Si 0.705 0.458 0.713
Zr 0.138 0.973 0.278

---

Record 6
! Nd5Si4 (PBE, optimized geometry); values from VASP
! DFT total energy   -5.740 eV/atom
&SYSTEM
  ibrav = 0, nat = 36, ntyp = 2
/
ATOMIC_SPECIES
Si 28.09 Si.upf
Nd 144.24 Nd.upf
CELL_PARAMETERS angstrom
-2.689 -5.924 4.279
-6.092 -6.210 -12.426
6.737 -4.000 -1.304
ATOMIC_POSITIONS crystal
Si 0.866 0.459 0.525
Nd 0.957 0.898 0.812
Nd 0.861 0.250 0.489
Nd 0.361 0.250 0.011
Si 0.134 0.541 0.475
Si 0.366 0.041 0.975
Si 0.249 0.750 0.879
Si 0.134 0.959 0.475
Si 0.366 0.459 0.975
Nd 0.190 0.121 0.681
Si 0.634 0.959 0.025
Si 0.517 0.750 0.399
Nd 0.690 0.379 0.819
Si 0.749 0.750 0.621
Nd 0.543 0.398 0.312
Nd 0.639 0.750 0.989
Nd 0.457 0.898 0.688
Nd 0.957 0.602 0.812
Nd 0.190 0.379 0.681
Nd 0.690 0.121 0.819
Si 0.634 0.541 0.025
Nd 0.457 0.602 0.688
Nd 0.810 0.879 0.319
Nd 0.310 0.879 0.181
Si 0.017 0.750 0.101
Si 0.866 0.041 0.525
Si 0.251 0.250 0.379
Nd 0.310 0.621 0.181
Nd 0.139 0.750 0.511
Si 0.483 0.250 0.601
Nd 0.543 0.102 0.312
Si 0.983 0.250 0.899
Nd 0.810 0.621 0.319
Si 0.751 0.250 0.121
Nd 0.043 0.398 0.188
Nd 0.043 0.102 0.188